VASP calculation (GGA+U) on a geometry-optimized MnCd5O6 structure.

Space group: C2/m, No. 12
Fermi-level density of states, states/eV per cell: 2.24
Total DFT energy (no corrections), eV/atom: -4.5950

Structure (POSCAR):
```
MnCd5O6
1.0
5.802 0.164 0.000
1.790 5.525 0.000
0.895 2.763 5.027
O Cd Mn
6 5 1
Direct
0.245 0.919 0.679
0.761 0.761 0.000
0.239 0.239 0.000
0.245 0.597 0.321
0.755 0.081 0.321
0.755 0.403 0.679
0.500 0.833 0.335
0.000 0.666 0.667
0.500 0.500 0.000
0.500 0.167 0.665
0.000 0.334 0.333
0.000 0.000 0.000
```